Entry 1:
This record from the Alexandria database describes La2HfSe5 after structural relaxation. The functional is GGA-PBEsol.

Cell: 7.6153 8.5166 11.7352 Å, 90.00 90.00 90.00°
Positions (direct):
Se 0.8181 0.5376 0.5686
La 0.9331 0.5001 0.8296
Se 0.3181 0.4624 0.9314
Se 0.3631 0.2500 0.1951
Se 0.6819 0.9624 0.0686
Se 0.8181 0.9624 0.5686
Se 0.9421 0.2500 0.0063
Se 0.6528 0.2500 0.7899
La 0.5669 0.5001 0.3296
Se 0.1819 0.4624 0.4314
Hf 0.5745 0.2500 0.0109
Se 0.8472 0.2500 0.2899
La 0.4331 0.4999 0.6704
Se 0.1528 0.7500 0.7101
Se 0.8631 0.7500 0.3049
Se 0.1369 0.2500 0.6951
La 0.5669 0.9999 0.3296
Hf 0.9255 0.2500 0.5109
Hf 0.0745 0.7500 0.4891
Se 0.4421 0.7500 0.4937
Se 0.1819 0.0376 0.4314
La 0.0669 0.4999 0.1704
La 0.0669 0.0001 0.1704
Se 0.3472 0.7500 0.2101
Se 0.0579 0.7500 0.9937
Hf 0.4255 0.7500 0.9891
Se 0.5579 0.2500 0.5063
Se 0.6369 0.7500 0.8049
La 0.4331 0.0001 0.6704
La 0.9331 0.9999 0.8296
Se 0.3181 0.0376 0.9314
Se 0.6819 0.5376 0.0686

Summary:
The calculation puts the electronic total energy at -6.869 eV per atom. As for the space group: Pnma.

Entry 2:
This record from the Alexandria database describes Os2RhCl after structural relaxation. The functional is GGA-PBEsol.

Cell: 4.1001 4.4643 4.1001 Å, 62.66 90.00 117.34°
Positions (direct):
Cl 0.7500 0.5000 0.7500
Os 0.2500 0.5000 0.2500
Os 0.0000 0.0000 0.0000
Rh 0.5000 0.0000 0.5000

Summary:
The calculation puts the electronic total energy at -7.568 eV per atom. As for the space group: I-4m2.

- Number 2 is which compound?
  Os2RhCl

- electronic total energy of number 2 (Os2RhCl)?
  -7.568 eV per atom

- The lowest electronic total energy belongs to which entry?
  Os2RhCl